Record 1
DFT (PBE) results for Ca3Pb5S12 after structural relaxation.

Cell lengths 14.1446, 14.1446, 14.1446 Å; angles 109.47, 109.47, 109.47 degrees
Closest atoms and distances in Å follow each position.
Fractional coordinates of all 80 atoms:
Ca1 0.1250 0.2500 0.3750  8 S 3.03-3.05
Ca2 0.1250 0.3750 0.7500  8 S 3.03-3.05
Ca3 0.2500 0.3750 0.1250  8 S 3.03-3.05
Ca4 0.2500 0.8750 0.6250  8 S 3.03-3.05
Ca5 0.3750 0.1250 0.2500  8 S 3.03-3.05
Ca6 0.3750 0.7500 0.1250  8 S 3.03-3.05
Ca7 0.6250 0.2500 0.8750  8 S 3.03-3.05
Ca8 0.6250 0.8750 0.7500  8 S 3.03-3.05
Ca9 0.7500 0.1250 0.3750  8 S 3.03-3.05
Ca10 0.7500 0.6250 0.8750  8 S 3.03-3.05
Ca11 0.8750 0.6250 0.2500  8 S 3.03-3.05
Ca12 0.8750 0.7500 0.6250  8 S 3.03-3.05
Pb1 0.0000 0.0000 0.0000  6 S 2.80
Pb2 0.0000 0.0000 0.5000  6 S 2.80
Pb3 0.0000 0.5000 0.0000  6 S 2.80
Pb4 0.0000 0.5000 0.5000  6 S 2.80
Pb5 0.1250 0.7500 0.8750  4 S 2.54
Pb6 0.1250 0.8750 0.2500  4 S 2.54
Pb7 0.2500 0.1250 0.8750  4 S 2.54
Pb8 0.2500 0.6250 0.3750  4 S 2.54
Pb9 0.3750 0.2500 0.6250  4 S 2.54
Pb10 0.3750 0.6250 0.7500  4 S 2.54
Pb11 0.5000 0.0000 0.0000  6 S 2.80
Pb12 0.5000 0.0000 0.5000  6 S 2.80
Pb13 0.5000 0.5000 0.0000  6 S 2.80
Pb14 0.5000 0.5000 0.5000  6 S 2.80
Pb15 0.6250 0.3750 0.2500  4 S 2.54
Pb16 0.6250 0.7500 0.3750  4 S 2.54
Pb17 0.7500 0.3750 0.6250  4 S 2.54
Pb18 0.7500 0.8750 0.1250  4 S 2.54
Pb19 0.8750 0.1250 0.7500  4 S 2.54
Pb20 0.8750 0.2500 0.1250  4 S 2.54
S1 0.0470 0.2236 0.1360  2 Pb 2.54-2.80
S2 0.0470 0.3234 0.9109  2 Pb 2.54-2.80
S3 0.0876 0.7236 0.6766  2 Pb 2.54-2.80
S4 0.0876 0.8640 0.4109  2 Pb 2.54-2.80
S5 0.0891 0.6360 0.4124  2 Pb 2.54-2.80
S6 0.0891 0.9530 0.6766  2 Pb 2.54-2.80
S7 0.1360 0.0470 0.2236  2 Pb 2.54-2.80
S8 0.1360 0.5891 0.9124  2 Pb 2.54-2.80
S9 0.1766 0.2236 0.5876  2 Pb 2.54-2.80
S10 0.1766 0.4530 0.5891  2 Pb 2.54-2.80
S11 0.2236 0.1360 0.0470  2 Pb 2.54-2.80
S12 0.2236 0.5876 0.1766  2 Pb 2.54-2.80
S13 0.2764 0.3234 0.9124  2 Pb 2.54-2.80
S14 0.2764 0.4530 0.3640  2 Pb 2.54-2.80
S15 0.3234 0.9109 0.0470  2 Pb 2.54-2.80
S16 0.3234 0.9124 0.2764  2 Pb 2.54-2.80
S17 0.3640 0.2764 0.4530  2 Pb 2.54-2.80
S18 0.3640 0.5876 0.9109  2 Pb 2.54-2.80
S19 0.4109 0.0876 0.8640  2 Pb 2.54-2.80
S20 0.4109 0.8234 0.5470  2 Pb 2.54-2.80
S21 0.4124 0.0891 0.6360  2 Pb 2.54-2.80
S22 0.4124 0.8234 0.7764  2 Pb 2.54-2.80
S23 0.4530 0.3640 0.2764  2 Pb 2.54-2.80
S24 0.4530 0.5891 0.1766  2 Pb 2.54-2.80
S25 0.5470 0.4109 0.8234  2 Pb 2.54-2.80
S26 0.5470 0.6360 0.7236  2 Pb 2.54-2.80
S27 0.5876 0.1766 0.2236  2 Pb 2.54-2.80
S28 0.5876 0.9109 0.3640  2 Pb 2.54-2.80
S29 0.5891 0.1766 0.4530  2 Pb 2.54-2.80
S30 0.5891 0.9124 0.1360  2 Pb 2.54-2.80
S31 0.6360 0.4124 0.0891  2 Pb 2.54-2.80
S32 0.6360 0.7236 0.5470  2 Pb 2.54-2.80
S33 0.6766 0.0876 0.7236  2 Pb 2.54-2.80
S34 0.6766 0.0891 0.9530  2 Pb 2.54-2.80
S35 0.7236 0.5470 0.6360  2 Pb 2.54-2.80
S36 0.7236 0.6766 0.0876  2 Pb 2.54-2.80
S37 0.7764 0.4124 0.8234  2 Pb 2.54-2.80
S38 0.7764 0.8640 0.9530  2 Pb 2.54-2.80
S39 0.8234 0.5470 0.4109  2 Pb 2.54-2.80
S40 0.8234 0.7764 0.4124  2 Pb 2.54-2.80
S41 0.8640 0.4109 0.0876  2 Pb 2.54-2.80
S42 0.8640 0.9530 0.7764  2 Pb 2.54-2.80
S43 0.9109 0.0470 0.3234  2 Pb 2.54-2.80
S44 0.9109 0.3640 0.5876  2 Pb 2.54-2.80
S45 0.9124 0.1360 0.5891  2 Pb 2.54-2.80
S46 0.9124 0.2764 0.3234  2 Pb 2.54-2.80
S47 0.9530 0.6766 0.0891  2 Pb 2.54-2.80
S48 0.9530 0.7764 0.8640  2 Pb 2.54-2.80

Output
* raw total energy: -4.351 eV/atom
* formation energy from raw total energies: -0.65 eV per atom
* symmetry: No. 230
* ρ: 4.7 g/cm3

Record 2
DFT (PBE) results for La2MnAl after structural relaxation.

Cell lengths 3.6943, 4.7173, 6.4879 Å; angles 90.00, 106.36, 90.00 degrees
Closest atoms and distances in Å follow each position.
Fractional coordinates of all 4 atoms:
La1 0.0000 0.0000 0.0000  2 Al 3.19, 4 Mn 3.22
La2 0.2975 0.5000 0.5997  2 Mn 3.16, 4 Al 3.20
Mn1 0.5925 0.5000 0.1879  2 Al 2.76
Al1 0.7069 0.0000 0.4173  2 Mn 2.76

Output
* raw total energy: -5.735 eV/atom
* symmetry: No. 6
* ρ: 5.5 g/cm3